No. 1
# ThHgSb GGA-PBE optimized geometry
# V, Å³/f.u.: 84.85
# M_tot, μB per formula unit: 0.0
# Density of states at the Fermi level, states/eV/f.u.: 2.83
# Symmetry: P3m1
# Calculated density, g/cm3: 10.8
# E_form (uncorrected), eV per atom: -0.34
# E_tot, eV per atom: -4.293
data_ThHgSb
_cell_length_a 4.010
_cell_length_b 4.943
_cell_length_c 4.943
_cell_angle_alpha 120.00
_cell_angle_beta 90.00
_cell_angle_gamma 90.00
_space_group_name_H-M_alt 'P 1'
_space_group_IT_number 1
_space_group_name_Hall 'P 1'
loop_
_atom_site_label
_atom_site_type_symbol
_atom_site_fract_x
_atom_site_fract_y
_atom_site_fract_z
Sb1 Sb 0.734 0.667 0.333
Hg1 Hg 0.972 0.000 0.000
Th1 Th 0.294 0.333 0.667


No. 2
# Th5HgSb4 GGA-PBE optimized geometry
# V, Å³/f.u.: 321.30
# M_tot, μB per formula unit: 0.0
# Density of states at the Fermi level, states/eV/f.u.: 6.54
# Symmetry: I4/m
# Calculated density, g/cm3: 9.5
# E_form (uncorrected), eV per atom: -0.75
# E_tot, eV per atom: -6.134
data_Th5HgSb4
_cell_length_a 6.354
_cell_length_b 7.788
_cell_length_c 7.788
_cell_angle_alpha 80.42
_cell_angle_beta 65.92
_cell_angle_gamma 65.92
_space_group_name_H-M_alt 'P 1'
_space_group_IT_number 1
_space_group_name_Hall 'P 1'
loop_
_atom_site_label
_atom_site_type_symbol
_atom_site_fract_x
_atom_site_fract_y
_atom_site_fract_z
Th1 Th 0.900 0.398 0.804
Th2 Th 0.298 0.804 0.602
Th3 Th 0.704 0.196 0.398
Th4 Th 0.102 0.602 0.196
Th5 Th 0.501 0.000 0.000
Hg1 Hg 0.001 0.000 0.000
Sb1 Sb 0.403 0.399 0.796
Sb2 Sb 0.803 0.796 0.601
Sb3 Sb 0.199 0.204 0.399
Sb4 Sb 0.599 0.601 0.204


No. 3
# Th2HgSb4 GGA-PBE optimized geometry
# V, Å³/f.u.: 208.39
# M_tot, μB per formula unit: 0.0
# Density of states at the Fermi level, states/eV/f.u.: 3.51
# Symmetry: P-4m2
# Calculated density, g/cm3: 9.2
# E_form (uncorrected), eV per atom: -0.59
# E_tot, eV per atom: -5.109
data_Th2HgSb4
_cell_length_a 4.420
_cell_length_b 4.420
_cell_length_c 10.666
_cell_angle_alpha 90.00
_cell_angle_beta 90.00
_cell_angle_gamma 90.00
_space_group_name_H-M_alt 'P 1'
_space_group_IT_number 1
_space_group_name_Hall 'P 1'
loop_
_atom_site_label
_atom_site_type_symbol
_atom_site_fract_x
_atom_site_fract_y
_atom_site_fract_z
Th1 Th 0.500 0.000 0.730
Th2 Th 0.000 0.500 0.270
Hg1 Hg 0.500 0.500 0.000
Sb1 Sb 0.500 0.000 0.188
Sb2 Sb 0.000 0.500 0.812
Sb3 Sb 0.500 0.500 0.500
Sb4 Sb 0.000 0.000 0.500


No. 4
# Th2HgSb GGA-PBE optimized geometry
# V, Å³/f.u.: 127.41
# M_tot, μB per formula unit: 0.0
# Density of states at the Fermi level, states/eV/f.u.: 3.66
# Symmetry: R-3m
# Calculated density, g/cm3: 10.2
# E_form (uncorrected), eV per atom: -0.46
# E_tot, eV per atom: -5.274
data_Th2HgSb
_cell_length_a 4.374
_cell_length_b 4.374
_cell_length_c 8.093
_cell_angle_alpha 74.32
_cell_angle_beta 74.32
_cell_angle_gamma 60.00
_space_group_name_H-M_alt 'P 1'
_space_group_IT_number 1
_space_group_name_Hall 'P 1'
loop_
_atom_site_label
_atom_site_type_symbol
_atom_site_fract_x
_atom_site_fract_y
_atom_site_fract_z
Sb1 Sb 0.000 0.000 0.000
Hg1 Hg 0.500 0.500 0.500
Th1 Th 0.250 0.250 0.250
Th2 Th 0.750 0.750 0.750


No. 5
# Th4HgSb3 GGA-PBE optimized geometry
# V, Å³/f.u.: 256.66
# M_tot, μB per formula unit: 0.0
# Density of states at the Fermi level, states/eV/f.u.: 5.34
# Symmetry: Cmmm
# Calculated density, g/cm3: 9.7
# E_form (uncorrected), eV per atom: -0.70
# E_tot, eV per atom: -5.991
data_Th4HgSb3
_cell_length_a 4.470
_cell_length_b 7.796
_cell_length_c 7.796
_cell_angle_alpha 109.17
_cell_angle_beta 90.00
_cell_angle_gamma 90.00
_space_group_name_H-M_alt 'P 1'
_space_group_IT_number 1
_space_group_name_Hall 'P 1'
loop_
_atom_site_label
_atom_site_type_symbol
_atom_site_fract_x
_atom_site_fract_y
_atom_site_fract_z
Sb1 Sb 0.000 0.000 0.500
Sb2 Sb 0.500 0.500 0.500
Sb3 Sb 0.000 0.500 0.000
Hg1 Hg 0.500 0.000 0.000
Th1 Th 0.000 0.244 0.244
Th2 Th 0.500 0.753 0.247
Th3 Th 0.000 0.756 0.756
Th4 Th 0.500 0.247 0.753


No. 6
# Th3HgSb GGA-PBE optimized geometry
# V, Å³/f.u.: 166.30
# M_tot, μB per formula unit: 0.0
# Density of states at the Fermi level, states/eV/f.u.: 5.92
# Symmetry: Cmmm
# Calculated density, g/cm3: 10.2
# E_form (uncorrected), eV per atom: 0.09
# E_tot, eV per atom: -5.247
data_Th3HgSb
_cell_length_a 4.885
_cell_length_b 8.168
_cell_length_c 9.282
_cell_angle_alpha 116.10
_cell_angle_beta 90.00
_cell_angle_gamma 90.00
_space_group_name_H-M_alt 'P 1'
_space_group_IT_number 1
_space_group_name_Hall 'P 1'
loop_
_atom_site_label
_atom_site_type_symbol
_atom_site_fract_x
_atom_site_fract_y
_atom_site_fract_z
Th1 Th 0.500 0.327 0.000
Th2 Th 0.000 0.814 0.628
Th3 Th 0.500 0.673 0.000
Th4 Th 0.500 0.500 0.500
Th5 Th 0.000 0.186 0.372
Th6 Th 0.500 0.000 0.500
Hg1 Hg 0.500 0.085 0.171
Hg2 Hg 0.500 0.915 0.829
Sb1 Sb 0.000 0.622 0.245
Sb2 Sb 0.000 0.378 0.755


No. 7
# TmThHgSb GGA-PBE optimized geometry
# V, Å³/f.u.: 108.57
# M_tot, μB per formula unit: 0.0
# Density of states at the Fermi level, states/eV/f.u.: 4.20
# Symmetry: F-43m
# Calculated density, g/cm3: 11.1
# E_form (uncorrected), eV per atom: -0.48
# E_tot, eV per atom: -4.561
data_TmThHgSb
_cell_length_a 5.355
_cell_length_b 5.355
_cell_length_c 5.355
_cell_angle_alpha 60.00
_cell_angle_beta 60.00
_cell_angle_gamma 60.00
_space_group_name_H-M_alt 'P 1'
_space_group_IT_number 1
_space_group_name_Hall 'P 1'
loop_
_atom_site_label
_atom_site_type_symbol
_atom_site_fract_x
_atom_site_fract_y
_atom_site_fract_z
Sb1 Sb 0.250 0.250 0.250
Tm1 Tm 0.000 0.000 0.000
Hg1 Hg 0.750 0.750 0.750
Th1 Th 0.500 0.500 0.500


No. 8
# Ti3HgSb GGA-PBE optimized geometry
# V, Å³/f.u.: 125.47
# M_tot, μB per formula unit: 2.9
# Density of states at the Fermi level, states/eV/f.u.: 7.32
# Symmetry: Pm-3m
# Calculated density, g/cm3: 6.2
# E_form (uncorrected), eV per atom: 0.82
# E_tot, eV per atom: -4.806
data_Ti3HgSb
_cell_length_a 5.006
_cell_length_b 5.006
_cell_length_c 5.006
_cell_angle_alpha 90.00
_cell_angle_beta 90.00
_cell_angle_gamma 90.00
_space_group_name_H-M_alt 'P 1'
_space_group_IT_number 1
_space_group_name_Hall 'P 1'
loop_
_atom_site_label
_atom_site_type_symbol
_atom_site_fract_x
_atom_site_fract_y
_atom_site_fract_z
Sb1 Sb 0.500 0.500 0.500
Hg1 Hg 0.000 0.000 0.000
Ti1 Ti 0.000 0.500 0.000
Ti2 Ti 0.000 0.000 0.500
Ti3 Ti 0.500 0.000 0.000


No. 9
# Ti12HgSb6 GGA-PBE optimized geometry
# V, Å³/f.u.: 373.65
# M_tot, μB per formula unit: 0.0
# Density of states at the Fermi level, states/eV/f.u.: 21.50
# Symmetry: R-3
# Calculated density, g/cm3: 6.7
# E_form (uncorrected), eV per atom: -0.26
# E_tot, eV per atom: -6.565
data_Ti12HgSb6
_cell_length_a 7.655
_cell_length_b 7.655
_cell_length_c 7.655
_cell_angle_alpha 106.99
_cell_angle_beta 106.99
_cell_angle_gamma 106.99
_space_group_name_H-M_alt 'P 1'
_space_group_IT_number 1
_space_group_name_Hall 'P 1'
loop_
_atom_site_label
_atom_site_type_symbol
_atom_site_fract_x
_atom_site_fract_y
_atom_site_fract_z
Ti1 Ti 0.825 0.510 0.385
Ti2 Ti 0.385 0.825 0.510
Ti3 Ti 0.510 0.385 0.825
Ti4 Ti 0.175 0.490 0.615
Ti5 Ti 0.615 0.175 0.490
Ti6 Ti 0.490 0.615 0.175
Ti7 Ti 0.893 0.730 0.175
Ti8 Ti 0.270 0.825 0.107
Ti9 Ti 0.825 0.107 0.270
Ti10 Ti 0.107 0.270 0.825
Ti11 Ti 0.730 0.175 0.893
Ti12 Ti 0.175 0.893 0.730
Hg1 Hg 0.000 0.000 0.000
Sb1 Sb 0.788 0.896 0.533
Sb2 Sb 0.467 0.212 0.104
Sb3 Sb 0.104 0.467 0.212
Sb4 Sb 0.212 0.104 0.467
Sb5 Sb 0.533 0.788 0.896
Sb6 Sb 0.896 0.533 0.788


No. 10
# Ti5HgSb2 GGA-PBE optimized geometry
# V, Å³/f.u.: 178.53
# M_tot, μB per formula unit: 0.0
# Density of states at the Fermi level, states/eV/f.u.: 9.77
# Symmetry: Cmcm
# Calculated density, g/cm3: 6.4
# E_form (uncorrected), eV per atom: 0.15
# E_tot, eV per atom: -5.852
data_Ti5HgSb2
_cell_length_a 4.708
_cell_length_b 6.760
_cell_length_c 11.970
_cell_angle_alpha 90.00
_cell_angle_beta 90.00
_cell_angle_gamma 110.38
_space_group_name_H-M_alt 'P 1'
_space_group_IT_number 1
_space_group_name_Hall 'P 1'
loop_
_atom_site_label
_atom_site_type_symbol
_atom_site_fract_x
_atom_site_fract_y
_atom_site_fract_z
Ti1 Ti 0.886 0.773 0.867
Ti2 Ti 0.886 0.773 0.633
Ti3 Ti 0.306 0.613 0.493
Ti4 Ti 0.306 0.613 0.007
Ti5 Ti 0.700 0.400 0.250
Ti6 Ti 0.300 0.600 0.750
Ti7 Ti 0.694 0.387 0.507
Ti8 Ti 0.694 0.387 0.993
Ti9 Ti 0.114 0.227 0.133
Ti10 Ti 0.114 0.227 0.367
Hg1 Hg 0.674 0.349 0.750
Hg2 Hg 0.326 0.651 0.250
Sb1 Sb 0.897 0.794 0.397
Sb2 Sb 0.897 0.794 0.103
Sb3 Sb 0.103 0.206 0.603
Sb4 Sb 0.103 0.206 0.897


No. 11
# TiHgSb GGA-PBE optimized geometry
# V, Å³/f.u.: 78.19
# M_tot, μB per formula unit: 0.0
# Density of states at the Fermi level, states/eV/f.u.: 1.72
# Symmetry: P4/nmm
# Calculated density, g/cm3: 7.9
# E_form (uncorrected), eV per atom: -0.22
# E_tot, eV per atom: -4.331
data_TiHgSb
_cell_length_a 3.550
_cell_length_b 3.550
_cell_length_c 12.405
_cell_angle_alpha 90.00
_cell_angle_beta 90.00
_cell_angle_gamma 90.00
_space_group_name_H-M_alt 'P 1'
_space_group_IT_number 1
_space_group_name_Hall 'P 1'
loop_
_atom_site_label
_atom_site_type_symbol
_atom_site_fract_x
_atom_site_fract_y
_atom_site_fract_z
Ti1 Ti 0.000 0.500 0.563
Ti2 Ti 0.500 0.000 0.437
Sb1 Sb 0.500 0.000 0.668
Sb2 Sb 0.000 0.500 0.332
Hg1 Hg 0.000 0.500 0.904
Hg2 Hg 0.500 0.000 0.096